(1)
A geometry-optimized AgTe4 structure. Source: Alexandria, functional PBE-GGA.

Unit cell a=6.0117 b=6.0117 c=9.1605 alpha=116.41 beta=116.41 gamma=38.91
With the nearest neighbours (Å) after each atom.
Atoms (fractional coordinates):
Ag 0.0000 0.0000 0.0000  2 Te 2.67
Te 0.2672 0.2672 0.1485  1 Ag 2.67, 1 Te 2.82
Te 0.3697 0.3697 0.4954  2 Te 2.82-2.92
Te 0.6303 0.6303 0.5046  2 Te 2.82-2.92
Te 0.7328 0.7328 0.8514  1 Ag 2.67, 1 Te 2.82

Calculated values
Energy relative to the elements, uncorrected ... 0.133 eV per atom
Total moment ... 0.00 μB/f.u.
Volume ... 183.4 Å³/cell

***

(2)
A geometry-optimized AgTe structure. Source: Alexandria, functional PBE-GGA.

Unit cell a=3.5507 b=3.5507 c=4.2951 alpha=90.00 beta=90.00 gamma=111.66
With the nearest neighbours (Å) after each atom.
Atoms (fractional coordinates):
Ag 0.0000 0.0000 0.0000  4 Te 2.93
Te 0.5000 0.5000 0.5000  4 Ag 2.93

Calculated values
Energy relative to the elements, uncorrected ... 0.186 eV per atom
Total moment ... 0.00 μB/f.u.
Volume ... 50.3 Å³/cell

***

(3)
A geometry-optimized Ag2Te structure. Source: Alexandria, functional PBE-GGA.

Unit cell a=4.2833 b=4.2833 c=4.0993 alpha=90.00 beta=90.00 gamma=90.00
With the nearest neighbours (Å) after each atom.
Atoms (fractional coordinates):
Ag 0.0000 0.5000 0.0000  4 Te 2.96, 4 Ag 3.03
Ag 0.5000 0.0000 0.0000  4 Te 2.96, 4 Ag 3.03
Te 0.0000 0.0000 0.5000  8 Ag 2.96

Calculated values
Energy relative to the elements, uncorrected ... 0.060 eV per atom
Total moment ... 0.00 μB/f.u.
Volume ... 75.2 Å³/cell